Record 1
# Tc3PPd, optimized geometry, DFT PBEsol
data_Tc3PPd
_cell_length_a 4.5992
_cell_length_b 4.5992
_cell_length_c 4.5992
_cell_angle_alpha 90.00
_cell_angle_beta 90.00
_cell_angle_gamma 90.00
_symmetry_space_group_name_H-M 'P 1'
_symmetry_Int_Tables_number 1
loop_
_symmetry_equiv_pos_as_xyz
'x,y,z'
loop_
_atom_site_label
_atom_site_type_symbol
_atom_site_fract_x
_atom_site_fract_y
_atom_site_fract_z
_atom_site_occupancy
Tc1 Tc 0.5000 0.0000 0.0000 1
Tc2 Tc 0.0000 0.5000 0.0000 1
P1 P 0.5000 0.5000 0.5000 1
Pd1 Pd 0.0000 0.0000 0.0000 1
Tc3 Tc 0.0000 0.0000 0.5000 1
# - space group = Pm-3m, No. 221
# - VASP energy (eV for the cell shown) = -33.50

***

Record 2
# TePPd2, optimized geometry, DFT PBEsol
data_TePPd2
_cell_length_a 4.6415
_cell_length_b 4.6415
_cell_length_c 8.0162
_cell_angle_alpha 106.83
_cell_angle_beta 106.83
_cell_angle_gamma 90.00
_symmetry_space_group_name_H-M 'P 1'
_symmetry_Int_Tables_number 1
loop_
_symmetry_equiv_pos_as_xyz
'x,y,z'
loop_
_atom_site_label
_atom_site_type_symbol
_atom_site_fract_x
_atom_site_fract_y
_atom_site_fract_z
_atom_site_occupancy
Pd1 Pd 0.4594 0.8750 0.2500 1
Pd2 Pd 0.7906 0.3750 0.2500 1
Pd3 Pd 0.1250 0.2094 0.7500 1
Te1 Te 0.2500 0.7500 0.5000 1
Pd4 Pd 0.6250 0.5406 0.7500 1
P1 P 0.5000 0.5000 0.0000 1
P2 P 0.7500 0.2500 0.5000 1
Te2 Te 0.0000 0.0000 0.0000 1
# - space group = I-42d, No. 122
# - VASP energy (eV for the cell shown) = -44.46
# - formation energy without anion corrections (kJ/mol of atoms) = -23.95

***

Record 3
# TlP2Pd2, optimized geometry, DFT PBEsol
data_TlP2Pd2
_cell_length_a 4.3165
_cell_length_b 4.3165
_cell_length_c 5.4987
_cell_angle_alpha 113.11
_cell_angle_beta 113.11
_cell_angle_gamma 90.00
_symmetry_space_group_name_H-M 'P 1'
_symmetry_Int_Tables_number 1
loop_
_symmetry_equiv_pos_as_xyz
'x,y,z'
loop_
_atom_site_label
_atom_site_type_symbol
_atom_site_fract_x
_atom_site_fract_y
_atom_site_fract_z
_atom_site_occupancy
P1 P 0.6206 0.6206 0.2412 1
P2 P 0.3794 0.3794 0.7588 1
Pd1 Pd 0.2500 0.7500 0.5000 1
Tl1 Tl 0.0000 0.0000 0.0000 1
Pd2 Pd 0.7500 0.2500 0.5000 1
# - space group = I4/mmm, No. 139
# - VASP energy (eV for the cell shown) = -27.31

***

Record 4
# Tm3P6Pd20, optimized geometry, DFT PBEsol
data_Tm3P6Pd20
_cell_length_a 8.5164
_cell_length_b 8.5164
_cell_length_c 8.5164
_cell_angle_alpha 60.00
_cell_angle_beta 60.00
_cell_angle_gamma 60.00
_symmetry_space_group_name_H-M 'P 1'
_symmetry_Int_Tables_number 1
loop_
_symmetry_equiv_pos_as_xyz
'x,y,z'
loop_
_atom_site_label
_atom_site_type_symbol
_atom_site_fract_x
_atom_site_fract_y
_atom_site_fract_z
_atom_site_occupancy
P1 P 0.2632 0.7368 0.2632 1
Pd1 Pd 0.0000 0.6545 0.0000 1
P2 P 0.7368 0.7368 0.2632 1
Pd2 Pd 0.3840 0.3840 0.3840 1
Pd3 Pd 0.0000 0.3455 0.6545 1
Pd4 Pd 0.0000 0.0000 0.6545 1
Pd5 Pd 0.3455 0.0000 0.6545 1
Pd6 Pd 0.3840 0.8481 0.3840 1
Pd7 Pd 0.6160 0.6160 0.1519 1
Pd8 Pd 0.6160 0.6160 0.6160 1
Pd9 Pd 0.3455 0.6545 0.0000 1
P3 P 0.2632 0.2632 0.7368 1
Pd10 Pd 0.1519 0.6160 0.6160 1
Pd11 Pd 0.0000 0.3455 0.0000 1
Pd12 Pd 0.6160 0.1519 0.6160 1
Pd13 Pd 0.8481 0.3840 0.3840 1
Pd14 Pd 0.6545 0.0000 0.0000 1
Tm1 Tm 0.7500 0.7500 0.7500 1
Tm2 Tm 0.2500 0.2500 0.2500 1
Tm3 Tm 0.0000 0.0000 0.0000 1
Pd15 Pd 0.3840 0.3840 0.8481 1
Pd16 Pd 0.6545 0.0000 0.3455 1
P4 P 0.2632 0.7368 0.7368 1
P5 P 0.7368 0.2632 0.7368 1
Pd17 Pd 0.0000 0.0000 0.3455 1
Pd18 Pd 0.3455 0.0000 0.0000 1
P6 P 0.7368 0.2632 0.2632 1
Pd19 Pd 0.6545 0.3455 0.0000 1
Pd20 Pd 0.0000 0.6545 0.3455 1
# - space group = Fm-3m, No. 225
# - VASP energy (eV for the cell shown) = -191.47

***

Record 5
# P3PdW, optimized geometry, DFT PBEsol
data_P3PdW
_cell_length_a 4.6082
_cell_length_b 4.6082
_cell_length_c 4.6082
_cell_angle_alpha 90.00
_cell_angle_beta 90.00
_cell_angle_gamma 90.00
_symmetry_space_group_name_H-M 'P 1'
_symmetry_Int_Tables_number 1
loop_
_symmetry_equiv_pos_as_xyz
'x,y,z'
loop_
_atom_site_label
_atom_site_type_symbol
_atom_site_fract_x
_atom_site_fract_y
_atom_site_fract_z
_atom_site_occupancy
P1 P 0.0000 0.0000 0.5000 1
P2 P 0.0000 0.5000 0.0000 1
W1 W 0.0000 0.0000 0.0000 1
P3 P 0.5000 0.0000 0.0000 1
Pd1 Pd 0.5000 0.5000 0.5000 1
# - space group = Pm-3m, No. 221
# - VASP energy (eV for the cell shown) = -33.60

***

Record 6
# YP2Pd2, optimized geometry, DFT PBEsol
data_YP2Pd2
_cell_length_a 4.0379
_cell_length_b 4.0379
_cell_length_c 5.6748
_cell_angle_alpha 110.84
_cell_angle_beta 110.84
_cell_angle_gamma 90.00
_symmetry_space_group_name_H-M 'P 1'
_symmetry_Int_Tables_number 1
loop_
_symmetry_equiv_pos_as_xyz
'x,y,z'
loop_
_atom_site_label
_atom_site_type_symbol
_atom_site_fract_x
_atom_site_fract_y
_atom_site_fract_z
_atom_site_occupancy
P1 P 0.6114 0.6114 0.2228 1
P2 P 0.3886 0.3886 0.7772 1
Pd1 Pd 0.7500 0.2500 0.5000 1
Y1 Y 0.0000 0.0000 0.0000 1
Pd2 Pd 0.2500 0.7500 0.5000 1
# - space group = I4/mmm, No. 139
# - VASP energy (eV for the cell shown) = -35.41

***

Copy entry 1 word for word.
# Tc3PPd, optimized geometry, DFT PBEsol
data_Tc3PPd
_cell_length_a 4.5992
_cell_length_b 4.5992
_cell_length_c 4.5992
_cell_angle_alpha 90.00
_cell_angle_beta 90.00
_cell_angle_gamma 90.00
_symmetry_space_group_name_H-M 'P 1'
_symmetry_Int_Tables_number 1
loop_
_symmetry_equiv_pos_as_xyz
'x,y,z'
loop_
_atom_site_label
_atom_site_type_symbol
_atom_site_fract_x
_atom_site_fract_y
_atom_site_fract_z
_atom_site_occupancy
Tc1 Tc 0.5000 0.0000 0.0000 1
Tc2 Tc 0.0000 0.5000 0.0000 1
P1 P 0.5000 0.5000 0.5000 1
Pd1 Pd 0.0000 0.0000 0.0000 1
Tc3 Tc 0.0000 0.0000 0.5000 1
# - space group = Pm-3m, No. 221
# - VASP energy (eV for the cell shown) = -33.50